Record 1
VASP calculation (meta-GGA SCAN) on Na2Au2C at its PBEsol-relaxed geometry. Values from VASP.

Structure (Quantum ESPRESSO input):
```
&SYSTEM
  ibrav = 0, nat = 10, ntyp = 3
/
ATOMIC_SPECIES
Na 22.99 Na.upf
Au 196.97 Au.upf
C 12.01 C.upf
ATOMIC_POSITIONS angstrom
Na 0.000 1.729 3.607
Na 0.000 1.729 10.820
Na 1.729 0.000 3.607
Na 1.729 0.000 10.820
Au 0.000 0.000 1.302
Au 0.000 0.000 13.125
Au 1.729 1.729 5.912
Au 1.729 1.729 8.515
C 0.000 0.000 7.214
C 1.729 1.729 0.000
CELL_PARAMETERS angstrom
3.459 0.000 0.000
0.000 3.459 0.000
0.000 0.000 14.427
```

Calculated values
Formation energy: 1.3937 eV per atom
Space group: No. 139

---

Record 2
VASP calculation (meta-GGA SCAN) on NaAuC2 at its PBEsol-relaxed geometry. Values from VASP.

Structure (Quantum ESPRESSO input):
```
&SYSTEM
  ibrav = 0, nat = 16, ntyp = 3
/
ATOMIC_SPECIES
Na 22.99 Na.upf
Au 196.97 Au.upf
C 12.01 C.upf
ATOMIC_POSITIONS angstrom
Na 0.000 0.000 0.000
Na 0.000 2.807 2.807
Na 2.807 0.000 2.807
Na 2.807 2.807 0.000
Au 0.000 0.000 2.807
Au 0.000 2.807 0.000
Au 2.807 0.000 0.000
Au 2.807 2.807 2.807
C 1.403 1.403 1.403
C 1.403 1.403 4.210
C 1.403 4.210 1.403
C 1.403 4.210 4.210
C 4.210 1.403 1.403
C 4.210 1.403 4.210
C 4.210 4.210 1.403
C 4.210 4.210 4.210
CELL_PARAMETERS angstrom
5.614 0.000 0.000
0.000 5.614 0.000
0.000 0.000 5.614
```

Calculated values
Formation energy: 1.9854 eV per atom
Space group: No. 225

---

Record 3
VASP calculation (meta-GGA SCAN) on NaZrAu2C at its PBEsol-relaxed geometry. Values from VASP.

Structure (Quantum ESPRESSO input):
```
&SYSTEM
  ibrav = 0, nat = 5, ntyp = 4
/
ATOMIC_SPECIES
Na 22.99 Na.upf
Zr 91.22 Zr.upf
Au 196.97 Au.upf
C 12.01 C.upf
ATOMIC_POSITIONS angstrom
Na 0.000 0.000 0.000
Zr 2.333 2.333 2.104
Au 0.000 2.333 0.000
Au 2.333 0.000 0.000
C 0.000 0.000 2.104
CELL_PARAMETERS angstrom
4.666 0.000 0.000
0.000 4.666 0.000
0.000 0.000 4.207
```

Calculated values
Formation energy: 1.4360 eV per atom
Space group: No. 123

---

Record 4
VASP calculation (meta-GGA SCAN) on AuCO2 at its PBEsol-relaxed geometry. Values from VASP.

Structure (Quantum ESPRESSO input):
```
&SYSTEM
  ibrav = 0, nat = 16, ntyp = 3
/
ATOMIC_SPECIES
Au 196.97 Au.upf
C 12.01 C.upf
O 16.00 O.upf
ATOMIC_POSITIONS angstrom
Au 0.000 0.000 0.000
Au 0.000 2.692 2.692
Au 2.692 0.000 2.692
Au 2.692 2.692 0.000
C 0.000 0.000 2.692
C 0.000 2.692 0.000
C 2.692 0.000 0.000
C 2.692 2.692 2.692
O 1.346 1.346 1.346
O 1.346 1.346 4.038
O 1.346 4.038 1.346
O 1.346 4.038 4.038
O 4.038 1.346 1.346
O 4.038 1.346 4.038
O 4.038 4.038 1.346
O 4.038 4.038 4.038
CELL_PARAMETERS angstrom
5.384 0.000 0.000
0.000 5.384 0.000
0.000 0.000 5.384
```

Calculated values
Space group: No. 225
E_form (uncorrected): 1.99 eV/atom

---

Record 5
VASP calculation (meta-GGA SCAN) on P2AuCO at its PBEsol-relaxed geometry. Values from VASP.

Structure (Quantum ESPRESSO input):
```
&SYSTEM
  ibrav = 0, nat = 5, ntyp = 4
/
ATOMIC_SPECIES
P 30.97 P.upf
Au 196.97 Au.upf
C 12.01 C.upf
O 16.00 O.upf
ATOMIC_POSITIONS angstrom
P 0.000 2.129 0.000
P 2.129 0.000 0.000
Au 0.000 0.000 1.596
C 2.129 2.129 0.000
O 2.129 2.129 1.596
CELL_PARAMETERS angstrom
4.258 0.000 0.000
0.000 4.258 0.000
0.000 0.000 3.191
```

Calculated values
Space group: No. 123
E_form (uncorrected): 1.05 eV/atom

---

Record 6
VASP calculation (meta-GGA SCAN) on P3AuC at its PBEsol-relaxed geometry. Values from VASP.

Structure (Quantum ESPRESSO input):
```
&SYSTEM
  ibrav = 0, nat = 5, ntyp = 3
/
ATOMIC_SPECIES
P 30.97 P.upf
Au 196.97 Au.upf
C 12.01 C.upf
ATOMIC_POSITIONS angstrom
P 0.000 0.000 2.019
P 0.000 2.019 0.000
P 2.019 0.000 0.000
Au 2.019 2.019 2.019
C 0.000 0.000 0.000
CELL_PARAMETERS angstrom
4.037 0.000 0.000
0.000 4.037 0.000
0.000 0.000 4.037
```

Calculated values
Formation energy: 1.2937 eV per atom
Space group: No. 221

---

Record 7
VASP calculation (meta-GGA SCAN) on P2AuCS at its PBEsol-relaxed geometry. Values from VASP.

Structure (Quantum ESPRESSO input):
```
&SYSTEM
  ibrav = 0, nat = 5, ntyp = 4
/
ATOMIC_SPECIES
P 30.97 P.upf
Au 196.97 Au.upf
C 12.01 C.upf
S 32.06 S.upf
ATOMIC_POSITIONS angstrom
P 0.000 2.036 0.000
P 2.036 0.000 0.000
Au 0.000 0.000 2.038
C 2.036 2.036 0.000
S 2.036 2.036 2.038
CELL_PARAMETERS angstrom
4.073 0.000 0.000
0.000 4.073 0.000
0.000 0.000 4.076
```

Calculated values
Space group: No. 123
E_form (uncorrected): 1.38 eV/atom

---

Record 8
VASP calculation (meta-GGA SCAN) on PbAuC2 at its PBEsol-relaxed geometry. Values from VASP.

Structure (Quantum ESPRESSO input):
```
&SYSTEM
  ibrav = 0, nat = 16, ntyp = 3
/
ATOMIC_SPECIES
Pb 207.20 Pb.upf
Au 196.97 Au.upf
C 12.01 C.upf
ATOMIC_POSITIONS angstrom
Pb 0.000 0.000 0.000
Pb 0.000 2.491 2.670
Pb 2.491 0.000 8.010
Pb 2.491 2.491 5.340
Au 0.000 0.000 5.340
Au 0.000 2.491 8.010
Au 2.491 0.000 2.670
Au 2.491 2.491 0.000
C 1.017 1.245 6.675
C 1.245 3.508 9.345
C 1.245 3.964 4.005
C 1.473 1.245 1.335
C 3.508 3.736 1.335
C 3.736 1.017 4.005
C 3.736 1.473 9.345
C 3.964 3.736 6.675
CELL_PARAMETERS angstrom
4.981 0.000 0.000
0.000 4.981 0.000
0.000 0.000 10.680
```

Calculated values
Formation energy: 1.7473 eV per atom
Space group: No. 122

---

Number 1: calculated volume 17.26 Å³ per atom, spin magnetization 0.000 μB per cell. Number 2: calculated volume 11.06 Å³ per atom, spin magnetization 0.000 μB per cell. Number 3: calculated volume 18.32 Å³ per atom, spin magnetization 1.003 μB per cell. Number 4: calculated volume 9.75 Å³ per atom, spin magnetization 4.019 μB per cell. Number 5: calculated volume 11.57 Å³ per atom, spin magnetization 0.000 μB per cell. Number 6: calculated volume 13.16 Å³ per atom, spin magnetization 0.000 μB per cell. Number 7: calculated volume 13.52 Å³ per atom, spin magnetization 0.000 μB per cell. Number 8: calculated volume 16.56 Å³ per atom, spin magnetization 0.000 μB per cell.